[1]
Density functional theory data (meta-GGA SCAN) for a PBEsol-optimized structure of ReAgIr3.

The crystal system is cubic. As for the space group: No. 221. As for the calculated total energy: -61.421 eV per atom.

Geometry as POSCAR:
```
ReAgIr3
1.0
-4.468 -0.110 1.387
-1.324 -1.091 -4.354
0.426 -4.549 1.011
Re Ir Ag
1 3 1
Direct
0.000 0.000 0.000
0.000 0.500 0.000
0.000 0.000 0.500
0.500 0.000 0.000
0.500 0.500 0.500
```

[2]
Density functional theory data (meta-GGA SCAN) for a PBEsol-optimized structure of Be3NbO.

The crystal system is cubic. As for the space group: No. 221. For the offset from the most stable computed form, the calculation gives 2351 meV per atom. As for the calculated total energy: -8.242 eV per atom.

Geometry as POSCAR:
```
Be3NbO
1.0
-2.963 -0.196 -3.328
0.722 -4.384 -0.385
-3.254 -0.795 2.944
Be Nb O
3 1 1
Direct
0.000 0.500 0.000
0.000 0.000 0.500
0.500 0.000 0.000
0.000 0.000 0.000
0.500 0.500 0.500
```

[3]
Density functional theory data (meta-GGA SCAN) for a PBEsol-optimized structure of Cs3LaO3.

The crystal system is monoclinic. As for the space group: No. 12. For the offset from the most stable computed form, the calculation gives 20 meV per atom. As for the calculated total energy: -27.094 eV per atom.

Geometry as POSCAR:
```
Cs3LaO3
1.0
-6.146 2.291 3.787
4.478 -4.976 3.542
4.230 6.119 1.929
Cs La O
6 2 6
Direct
0.647 0.647 0.356
0.213 0.787 0.500
0.787 0.213 0.500
0.255 0.745 0.000
0.745 0.255 0.000
0.353 0.353 0.644
0.815 0.815 0.842
0.185 0.185 0.158
0.894 0.894 0.145
0.821 0.538 0.731
0.538 0.821 0.731
0.179 0.462 0.269
0.462 0.179 0.269
0.106 0.106 0.855
```

Question: calculated total energy of number 1 (ReAgIr3)?
Answer: -61.421 eV per atom